Compound: InFeAs2
Source: Alexandria
Functional: PBE
Structure: relaxed

a = 2.943 Å, b = 2.943 Å, c = 8.138 Å
α = 90.00°, β = 90.00°, γ = 90.00°
Space group P4mm (No. 99)
One atom of each set of equivalent atoms:
In 0.000 0.000 0.000 x1
Fe 0.500 0.500 0.769 x1
As 0.000 0.000 0.613 x1
As 0.500 0.500 0.298 x1

The value obtained for the formation enthalpy at 0 K is 0.2148 eV per atom. The density of states at the Fermi level comes out at 2.12 states/eV/f.u. Its crystal system is tetragonal.